11
Lattice="3.557 0.000 0.000 0.000 6.496 0.000 0.000 -3.248 5.626" Properties=species:S:1:pos:R:3 comment="Tm2Co6B3 | Alexandria via LeMat-Bulk | PBE | optimized geometry" ef_ev_per_atom=-0.244 spacegroup="No. 189" pbc="T T T"
B 1.779 4.082 0.000
Co 1.779 2.332 4.039
B 1.779 1.207 2.091
B 1.779 -2.041 3.535
Co 0.000 -2.569 4.449
Tm 0.000 3.248 1.875
Co 0.000 0.679 1.177
Co 1.779 -0.916 1.587
Co 1.779 1.832 0.000
Co 0.000 5.138 0.000
Tm 0.000 0.000 3.751